1) Compound: CdAg2As
Source: Alexandria via LeMat-Bulk
Functional: meta-GGA SCAN
Structure: single point on PBEsol structure

Calculated values
Fermi-level density of states: 0.400 states/eV/atom
Density: 9291 kg/m³

Unit cell a=2.939 b=5.080 c=5.100 alpha=98.55 beta=106.75 gamma=90.00
Fractional positions:
Ag 0.996 0.998 0.993
Ag 0.252 0.747 0.504
Cd 0.746 0.237 0.493
As 0.505 0.518 0.011

2) Compound: CdAg2As
Source: Alexandria via LeMat-Bulk
Functional: meta-GGA SCAN
Structure: single point on PBEsol structure

Calculated values
Fermi-level density of states: 0.324 states/eV/atom
Density: 9316 kg/m³

Unit cell a=4.120 b=4.120 c=5.138 alpha=113.64 beta=113.64 gamma=90.00
Fractional positions:
Cd 0.000 0.000 0.000
As 0.500 0.500 0.000
Ag 0.750 0.250 0.500
Ag 0.250 0.750 0.500

3) Compound: CdAg2As
Source: Alexandria via LeMat-Bulk
Functional: meta-GGA SCAN
Structure: single point on PBEsol structure

Calculated values
Fermi-level density of states: 0.494 states/eV/atom
Density: 9114 kg/m³

Unit cell a=4.700 b=4.700 c=4.700 alpha=60.00 beta=60.00 gamma=60.00
Fractional positions:
Ag 0.750 0.750 0.750
Ag 0.000 0.000 0.000
Cd 0.250 0.250 0.250
As 0.500 0.500 0.500

The data favor 2); the next most stable structure lies 24 meV/atom above it.

1) Compound: Ag2AsCl
Source: Alexandria via LeMat-Bulk
Functional: meta-GGA SCAN
Structure: single point on PBEsol structure

Calculated values
Fermi-level density of states: 0.279 states/eV/atom
Density: 7304 kg/m³

Unit cell a=4.715 b=4.715 c=4.715 alpha=60.00 beta=60.00 gamma=60.00
Site moments in Bohr magnetons follow the coordinates.
Fractional positions:
As 0.000 0.000 0.000  0.65
Ag 0.750 0.750 0.750  0.19
Ag 0.250 0.250 0.250  0.19
Cl 0.500 0.500 0.500  0.32

2) Compound: Ag2AsCl
Source: Alexandria via LeMat-Bulk
Functional: meta-GGA SCAN
Structure: single point on PBEsol structure

Calculated values
Fermi-level density of states: 0.321 states/eV/atom
Density: 7388 kg/m³

Unit cell a=3.093 b=4.590 c=5.163 alpha=90.00 beta=90.00 gamma=90.00
Fractional positions:
Cl 0.000 0.500 0.500
Ag 0.000 0.000 0.000
Ag 0.500 0.000 0.500
As 0.500 0.500 0.000

The data favor 2); the next most stable structure lies 96 meV/atom above it.

1) Compound: CrAgAs2
Source: Alexandria via LeMat-Bulk
Functional: meta-GGA SCAN
Structure: single point on PBEsol structure

Calculated values
Fermi-level density of states: 0.448 states/eV/atom
Density: 7837 kg/m³

Unit cell a=3.818 b=3.818 c=5.249 alpha=111.33 beta=111.33 gamma=90.00
Site moments in Bohr magnetons follow the coordinates.
Fractional positions:
As 0.750 0.250 0.500  -0.10
As 0.000 0.000 0.000  -0.12
Ag 0.250 0.750 0.500  -0.02
Cr 0.500 0.500 0.000  3.59

2) Compound: CrAgAs2
Source: Alexandria via LeMat-Bulk
Functional: meta-GGA SCAN
Structure: single point on PBEsol structure

Calculated values
Fermi-level density of states: 0.606 states/eV/atom
Density: 8085 kg/m³

Unit cell a=3.026 b=3.026 c=8.209 alpha=79.38 beta=79.38 gamma=60.00
Fractional positions:
Ag 0.000 0.000 0.000
As 0.236 0.236 0.292
As 0.764 0.764 0.708
Cr 0.500 0.500 0.500

The data favor 2); the next most stable structure lies 56 meV/atom above it.

1) Compound: AgAs2Ir
Source: Alexandria via LeMat-Bulk
Functional: meta-GGA SCAN
Structure: single point on PBEsol structure

Calculated values
Fermi-level density of states: 0.547 states/eV/atom
Density: 11452 kg/m³

Unit cell a=4.519 b=4.519 c=4.519 alpha=60.00 beta=60.00 gamma=60.00
Fractional positions:
Ag 0.500 0.500 0.500
As 0.750 0.750 0.750
As 0.000 0.000 0.000
Ir 0.250 0.250 0.250

2) Compound: AgAs2Ir
Source: Alexandria via LeMat-Bulk
Functional: meta-GGA SCAN
Structure: single point on PBEsol structure

Calculated values
Fermi-level density of states: 0.384 states/eV/atom
Density: 10878 kg/m³

Unit cell a=2.927 b=2.927 c=8.016 alpha=90.00 beta=90.00 gamma=90.00
Fractional positions:
Ag 0.500 0.500 0.737
As 0.000 0.000 0.979
As 0.500 0.500 0.305
Ir 0.000 0.000 0.480

3) Compound: AgAs2Ir
Source: Alexandria via LeMat-Bulk
Functional: meta-GGA SCAN
Structure: single point on PBEsol structure

Calculated values
Fermi-level density of states: 0.591 states/eV/atom
Density: 11018 kg/m³

Unit cell a=2.820 b=2.820 c=9.769 alpha=90.00 beta=90.00 gamma=119.20
Fractional positions:
As 0.000 0.000 0.017
As 0.500 0.500 0.716
Ag 0.500 0.500 0.261
Ir 0.000 0.000 0.507

The data favor 2); the next most stable structure lies 176 meV/atom above it.

1) Compound: LiAgAs2
Source: Alexandria via LeMat-Bulk
Functional: meta-GGA SCAN
Structure: single point on PBEsol structure

Calculated values
Fermi-level density of states: 0.488 states/eV/atom
Density: 5999 kg/m³

Unit cell a=5.349 b=5.877 c=5.877 alpha=78.05 beta=62.93 gamma=62.93
Fractional positions:
Li 0.500 0.000 0.000
Li 0.250 0.500 0.500
Ag 0.750 0.500 0.500
Ag 0.000 0.000 0.000
As 0.647 0.978 0.478
As 0.875 0.478 0.022
As 0.375 0.522 0.978
As 0.103 0.022 0.522

2) Compound: LiAgAs2
Source: Alexandria via LeMat-Bulk
Functional: meta-GGA SCAN
Structure: single point on PBEsol structure

Calculated values
Fermi-level density of states: 0.276 states/eV/atom
Density: 6400 kg/m³

Unit cell a=2.912 b=4.130 c=5.893 alpha=90.04 beta=104.30 gamma=90.00
Fractional positions:
Li 0.453 0.375 0.906
As 0.037 0.875 0.075
As 0.814 0.875 0.628
Ag 0.196 0.375 0.391

3) Compound: LiAgAs2
Source: Alexandria via LeMat-Bulk
Functional: meta-GGA SCAN
Structure: single point on PBEsol structure

Calculated values
Fermi-level density of states: 0.235 states/eV/atom
Density: 6398 kg/m³

Unit cell a=2.742 b=2.742 c=9.139 alpha=90.00 beta=90.00 gamma=90.00
Fractional positions:
Li 0.000 0.000 0.504
As 0.500 0.500 0.292
As 0.000 0.000 0.972
Ag 0.500 0.500 0.732

The data favor 2); the next most stable structure lies 149 meV/atom above it.

1) Compound: MnAgAs
Source: Alexandria via LeMat-Bulk
Functional: meta-GGA SCAN
Structure: single point on PBEsol structure

Calculated values
Fermi-level density of states: 0.492 states/eV/atom
Density: 8312 kg/m³

Unit cell a=2.899 b=2.899 c=6.527 alpha=90.00 beta=90.00 gamma=120.00
Site moments in Bohr magnetons follow the coordinates.
Fractional positions:
Mn 0.667 0.333 0.348  3.59
As 0.333 0.667 0.635  -0.09
Ag 0.000 0.000 0.017  0.01

2) Compound: MnAgAs
Source: Alexandria via LeMat-Bulk
Functional: meta-GGA SCAN
Structure: single point on PBEsol structure

Calculated values
Fermi-level density of states: 0.283 states/eV/atom
Density: 7402 kg/m³

Unit cell a=4.225 b=4.225 c=4.225 alpha=60.00 beta=60.00 gamma=60.00
Site moments in Bohr magnetons follow the coordinates.
Fractional positions:
As 0.500 0.500 0.500  -0.16
Mn 0.250 0.250 0.250  3.86
Ag 0.000 0.000 0.000  0.06

The data favor 2); the next most stable structure lies 122 meV/atom above it.

1) Compound: AgAsPt
Source: Alexandria via LeMat-Bulk
Functional: meta-GGA SCAN
Structure: single point on PBEsol structure

Calculated values
Fermi-level density of states: 0.340 states/eV/atom
Density: 12799 kg/m³

Unit cell a=2.921 b=4.403 c=4.403 alpha=120.00 beta=90.00 gamma=90.00
Fractional positions:
Ag 0.000 0.000 0.000
Pt 0.500 0.667 0.333
As 0.500 0.333 0.667

2) Compound: AgAsPt
Source: Alexandria via LeMat-Bulk
Functional: meta-GGA SCAN
Structure: single point on PBEsol structure

Calculated values
Fermi-level density of states: 0.203 states/eV/atom
Density: 12370 kg/m³

Unit cell a=3.349 b=3.349 c=5.105 alpha=109.15 beta=109.15 gamma=90.00
Fractional positions:
Ag 0.995 0.995 0.990
As 0.699 0.699 0.398
Pt 0.306 0.306 0.612

The data favor 2); the next most stable structure lies 32 meV/atom above it.

1) Compound: AgSbAs2
Source: Alexandria via LeMat-Bulk
Functional: meta-GGA SCAN
Structure: single point on PBEsol structure

Calculated values
Fermi-level density of states: 0.618 states/eV/atom
Density: 7809 kg/m³

Unit cell a=4.850 b=4.850 c=4.850 alpha=60.00 beta=60.00 gamma=60.00
Fractional positions:
As 0.750 0.750 0.750
As 0.250 0.250 0.250
Sb 0.500 0.500 0.500
Ag 0.000 0.000 0.000

2) Compound: AgSbAs2
Source: Alexandria via LeMat-Bulk
Functional: meta-GGA SCAN
Structure: single point on PBEsol structure

Calculated values
Fermi-level density of states: 0.420 states/eV/atom
Density: 7281 kg/m³

Unit cell a=3.673 b=4.521 c=5.668 alpha=102.87 beta=108.90 gamma=90.00
Fractional positions:
Sb 0.000 0.500 0.000
As 0.285 0.200 0.569
As 0.715 0.800 0.431
Ag 0.500 0.000 0.000

The data favor 2); the next most stable structure lies 180 meV/atom above it.

1) Compound: AgSb2As
Source: Alexandria via LeMat-Bulk
Functional: meta-GGA SCAN
Structure: single point on PBEsol structure

Calculated values
Fermi-level density of states: 0.167 states/eV/atom
Density: 5977 kg/m³

Unit cell a=6.223 b=6.223 c=7.535 alpha=114.39 beta=114.39 gamma=90.00
Fractional positions:
Sb 0.625 0.629 0.750
Sb 0.371 0.875 0.250
Sb 0.879 0.375 0.250
Sb 0.125 0.121 0.750
Ag 0.250 0.750 0.500
Ag 0.000 0.000 0.000
As 0.750 0.250 0.500
As 0.500 0.500 0.000

2) Compound: AgSb2As
Source: Alexandria via LeMat-Bulk
Functional: meta-GGA SCAN
Structure: single point on PBEsol structure

Calculated values
Fermi-level density of states: 0.459 states/eV/atom
Density: 8082 kg/m³

Unit cell a=3.085 b=5.329 c=5.329 alpha=90.00 beta=90.00 gamma=90.00
Fractional positions:
As 0.500 0.000 0.000
Ag 0.500 0.500 0.500
Sb 0.000 0.000 0.500
Sb 0.000 0.500 0.000

The data favor 1); the next most stable structure lies 144 meV/atom above it.

1) Compound: Ag3AsSe3
Source: Alexandria via LeMat-Bulk
Functional: meta-GGA SCAN
Structure: single point on PBEsol structure

Calculated values
Density: 6935 kg/m³

Unit cell a=7.862 b=11.309 c=20.535 alpha=90.00 beta=90.00 gamma=90.00
Fractional positions:
Se 0.067 0.099 0.267
Se 0.450 0.750 0.604
Se 0.377 0.910 0.123
Se 0.877 0.910 0.377
Se 0.402 0.918 0.436
Se 0.098 0.418 0.936
Se 0.123 0.410 0.623
Se 0.902 0.582 0.064
Se 0.496 0.750 0.969
Se 0.067 0.401 0.267
Se 0.950 0.750 0.896
Se 0.598 0.082 0.564
Se 0.632 0.250 0.713
Se 0.123 0.090 0.623
Se 0.567 0.401 0.233
Se 0.868 0.750 0.213
Se 0.132 0.250 0.787
Se 0.368 0.750 0.287
Se 0.933 0.599 0.733
Se 0.377 0.590 0.123
Se 0.050 0.250 0.104
Se 0.598 0.418 0.564
Se 0.433 0.901 0.767
Se 0.623 0.410 0.877
Se 0.550 0.250 0.396
Se 0.567 0.099 0.233
Se 0.933 0.901 0.733
Se 0.902 0.918 0.064
Se 0.433 0.599 0.767
Se 0.877 0.590 0.377
Se 0.402 0.582 0.436
Se 0.004 0.250 0.469
Se 0.504 0.250 0.031
Se 0.098 0.082 0.936
Se 0.996 0.750 0.531
Se 0.623 0.090 0.877
Ag 0.882 0.537 0.559
Ag 0.351 0.391 0.716
Ag 0.164 0.984 0.824
Ag 0.351 0.109 0.716
Ag 0.836 0.016 0.176
Ag 0.851 0.109 0.784
Ag 0.836 0.484 0.176
Ag 0.276 0.931 0.555
Ag 0.149 0.609 0.216
Ag 0.164 0.516 0.824
Ag 0.276 0.569 0.555
Ag 0.618 0.037 0.059
Ag 0.118 0.037 0.441
Ag 0.618 0.463 0.059
Ag 0.336 0.016 0.324
Ag 0.776 0.931 0.945
Ag 0.776 0.569 0.945
Ag 0.336 0.484 0.324
Ag 0.724 0.069 0.445
Ag 0.723 0.250 0.131
Ag 0.664 0.984 0.676
Ag 0.118 0.463 0.441
Ag 0.777 0.750 0.631
Ag 0.149 0.891 0.216
Ag 0.649 0.609 0.284
Ag 0.724 0.431 0.445
Ag 0.224 0.069 0.055
Ag 0.882 0.963 0.559
Ag 0.382 0.963 0.941
Ag 0.851 0.391 0.784
Ag 0.277 0.750 0.869
Ag 0.664 0.516 0.676
Ag 0.649 0.891 0.284
Ag 0.382 0.537 0.941
Ag 0.224 0.431 0.055
Ag 0.223 0.250 0.369
As 0.773 0.750 0.446
As 0.227 0.250 0.554
As 0.236 0.750 0.396
As 0.764 0.250 0.604
As 0.287 0.750 0.703
As 0.736 0.750 0.104
As 0.787 0.750 0.797
As 0.727 0.250 0.946
As 0.273 0.750 0.054
As 0.713 0.250 0.297
As 0.264 0.250 0.896
As 0.213 0.250 0.203

2) Compound: Ag3AsSe3
Source: Alexandria via LeMat-Bulk
Functional: meta-GGA SCAN
Structure: single point on PBEsol structure

Calculated values
Density: 6824 kg/m³

Unit cell a=7.108 b=7.108 c=7.108 alpha=105.67 beta=105.67 gamma=105.67
Fractional positions:
Ag 0.531 0.763 0.091
Ag 0.091 0.531 0.763
Ag 0.763 0.091 0.531
Ag 0.031 0.591 0.263
Ag 0.263 0.031 0.591
Ag 0.591 0.263 0.031
Se 0.245 0.908 0.210
Se 0.908 0.210 0.245
Se 0.745 0.710 0.408
Se 0.210 0.245 0.908
Se 0.408 0.745 0.710
Se 0.710 0.408 0.745
As 0.969 0.969 0.969
As 0.469 0.469 0.469

The data favor 1); the next most stable structure lies 19 meV/atom above it.

1) Compound: AgTe2AsSe
Source: Alexandria via LeMat-Bulk
Functional: meta-GGA SCAN
Structure: single point on PBEsol structure

Calculated values
Fermi-level density of states: 0.509 states/eV/atom
Density: 6032 kg/m³

Unit cell a=4.711 b=5.497 c=5.497 alpha=90.00 beta=90.00 gamma=90.00
Fractional positions:
As 0.500 0.500 0.500
Te 0.000 0.000 0.500
Te 0.000 0.500 0.000
Ag 0.500 0.000 0.000
Se 0.000 0.000 0.000

2) Compound: AgTe2AsSe
Source: Alexandria via LeMat-Bulk
Functional: meta-GGA SCAN
Structure: single point on PBEsol structure

Calculated values
Fermi-level density of states: 1.000 states/eV/atom
Density: 6311 kg/m³

Unit cell a=4.831 b=5.306 c=5.306 alpha=90.00 beta=90.00 gamma=90.00
Fractional positions:
As 0.500 0.500 0.500
Ag 0.000 0.000 0.000
Te 0.000 0.000 0.500
Te 0.000 0.500 0.000
Se 0.500 0.000 0.000

The data favor 1); the next most stable structure lies 112 meV/atom above it.